[1]
Entry from Alexandria: a relaxed Zr2GaSi2Ru5 crystal (PBE).

Properties
Crystal system: tetragonal
DOS at the Fermi energy: 0.497 states/eV/atom
Formation energy (no corrections): -687 meV/atom

Unit cell a=3.2266 b=9.7436 c=9.7436 alpha=90.00 beta=90.00 gamma=90.00
Closest atoms and distances in Å follow each position.
Element x y z (fractional)
Ga1 0.0000 0.5000 0.5000  8 Ru 2.66
Ga2 0.0000 0.0000 0.0000  8 Ru 2.66
Si1 0.0000 0.1278 0.6278  6 Ru 2.36-2.39
Si2 0.0000 0.6278 0.8722  6 Ru 2.36-2.39
Si3 0.0000 0.8722 0.3722  6 Ru 2.36-2.39
Si4 0.0000 0.3722 0.1278  6 Ru 2.36-2.39
Zr1 0.0000 0.1733 0.3267  3 Si 2.74-2.97, 10 Ru 2.88-3.06
Zr2 0.0000 0.8267 0.6733  3 Si 2.74-2.97, 10 Ru 2.88-3.06
Zr3 0.0000 0.3267 0.8267  3 Si 2.74-2.97, 10 Ru 2.88-3.06
Zr4 0.0000 0.6733 0.1733  3 Si 2.74-2.97, 10 Ru 2.88-3.06
Ru1 0.5000 0.9346 0.2070  2 Si 2.36
Ru2 0.5000 0.0000 0.5000  4 Si 2.39
Ru3 0.5000 0.4346 0.2930  2 Si 2.36
Ru4 0.5000 0.5654 0.7070  2 Si 2.36
Ru5 0.5000 0.5000 0.0000  4 Si 2.39
Ru6 0.5000 0.7930 0.9346  2 Si 2.36
Ru7 0.5000 0.2070 0.0654  2 Si 2.36
Ru8 0.5000 0.2930 0.5654  2 Si 2.36
Ru9 0.5000 0.0654 0.7930  2 Si 2.36
Ru10 0.5000 0.7070 0.4346  2 Si 2.36



[2]
Entry from Alexandria: a relaxed Zr2Ga2SiRu5 crystal (PBE).

Properties
Crystal system: tetragonal
DOS at the Fermi energy: 0.761 states/eV/atom
Formation energy (no corrections): -443 meV/atom

Unit cell a=3.2242 b=9.8352 c=9.8352 alpha=90.00 beta=90.00 gamma=90.00
Closest atoms and distances in Å follow each position.
Element x y z (fractional)
Ru1 0.5000 0.5499 0.6952  2 Ga 2.47, 2 Si 2.55
Ru2 0.5000 0.1952 0.0499  2 Ga 2.47, 2 Si 2.55
Ru3 0.5000 0.6952 0.4501  2 Ga 2.47, 2 Si 2.55
Ru4 0.5000 0.0000 0.5000  4 Ga 2.45
Ru5 0.5000 0.8048 0.9501  2 Ga 2.47, 2 Si 2.55
Ru6 0.5000 0.3048 0.5499  2 Ga 2.47, 2 Si 2.55
Ru7 0.5000 0.5000 0.0000  4 Ga 2.45
Ru8 0.5000 0.4501 0.3048  2 Ga 2.47, 2 Si 2.55
Ru9 0.5000 0.0499 0.8048  2 Ga 2.47, 2 Si 2.55
Ru10 0.5000 0.9501 0.1952  2 Ga 2.47, 2 Si 2.55
Si1 0.0000 0.5000 0.5000  8 Ru 2.55
Si2 0.0000 0.0000 0.0000  8 Ru 2.55
Zr1 0.0000 0.3303 0.8303  3 Ga 2.74-3.00, 6 Ru 2.86-3.00
Zr2 0.0000 0.1697 0.3303  3 Ga 2.74-3.00, 6 Ru 2.86-3.00
Zr3 0.0000 0.8303 0.6697  3 Ga 2.74-3.00, 6 Ru 2.86-3.00
Zr4 0.0000 0.6697 0.1697  3 Ga 2.74-3.00, 6 Ru 2.86-3.00
Ga1 0.0000 0.3670 0.1330  6 Ru 2.45-2.47, 1 Zr 2.74
Ga2 0.0000 0.1330 0.6330  6 Ru 2.45-2.47, 1 Zr 2.74
Ga3 0.0000 0.8670 0.3670  6 Ru 2.45-2.47, 1 Zr 2.74
Ga4 0.0000 0.6330 0.8670  6 Ru 2.45-2.47, 1 Zr 2.74



[3]
Entry from Alexandria: a relaxed SmGa3Ru crystal (PBE).

Properties
Crystal system: orthorhombic
DOS at the Fermi energy: 0.760 states/eV/atom
Energy relative to the lowest polymorph listed for this composition: 0.187 eV per atom
DFT formation energy: -1.9 eV/f.u.

Unit cell a=5.7961 b=7.5655 c=9.4670 alpha=90.00 beta=90.00 gamma=90.00
Closest atoms and distances in Å follow each position.
Element x y z (fractional)
Sm1 0.0000 0.8988 0.2500  7 Ga 3.10-3.39
Sm2 0.5000 0.6012 0.2500  7 Ga 3.10-3.39
Sm3 0.5000 0.3988 0.7500  7 Ga 3.10-3.39
Sm4 0.0000 0.1012 0.7500  7 Ga 3.10-3.39
Ga1 0.7501 0.7500 0.9495  2 Ru 2.43
Ga2 0.5000 0.0439 0.2500  2 Ru 2.39
Ga3 0.7499 0.2500 0.0505  2 Ru 2.43
Ga4 0.2501 0.7500 0.9495  2 Ru 2.43
Ga5 0.2499 0.2500 0.4495  2 Ru 2.43
Ga6 0.2501 0.7500 0.5505  2 Ru 2.43
Ga7 0.0000 0.5439 0.7500  2 Ru 2.39
Ga8 0.5000 0.9561 0.7500  2 Ru 2.39
Ga9 0.7499 0.2500 0.4495  2 Ru 2.43
Ga10 0.0000 0.4561 0.2500  2 Ru 2.39
Ga11 0.7501 0.7500 0.5505  2 Ru 2.43
Ga12 0.2499 0.2500 0.0505  2 Ru 2.43
Ru1 0.5000 0.0000 0.5000  6 Ga 2.39-2.43
Ru2 0.0000 0.5000 0.0000  6 Ga 2.39-2.43
Ru3 0.5000 0.0000 0.0000  6 Ga 2.39-2.43
Ru4 0.0000 0.5000 0.5000  6 Ga 2.39-2.43



[4]
Entry from Alexandria: a relaxed Sm2Ga8Ru crystal (PBE).

Properties
Crystal system: tetragonal
DOS at the Fermi energy: 0.407 states/eV/atom
DFT formation energy: -5.5 eV/f.u.

Unit cell a=4.3273 b=4.3273 c=11.4139 alpha=90.00 beta=90.00 gamma=90.00
Closest atoms and distances in Å follow each position.
Element x y z (fractional)
Ga1 0.0000 0.5000 0.1189  2 Ru 2.55, 1 Ga 2.71
Ga2 0.5000 0.5000 0.6920  8 Ga 3.06-3.08, 4 Sm 3.06
Ga3 0.5000 0.0000 0.5000  8 Ga 3.06-3.08, 4 Sm 3.09
Ga4 0.5000 0.0000 0.8811  2 Ru 2.55, 1 Ga 2.71
Ga5 0.5000 0.5000 0.3080  8 Ga 3.06-3.08, 4 Sm 3.06
Ga6 0.5000 0.0000 0.1189  2 Ru 2.55, 1 Ga 2.71
Ga7 0.0000 0.5000 0.5000  8 Ga 3.06-3.08, 4 Sm 3.09
Ga8 0.0000 0.5000 0.8811  2 Ru 2.55, 1 Ga 2.71
Sm1 0.0000 0.0000 0.6928  12 Ga 3.05-3.09
Sm2 0.0000 0.0000 0.3072  12 Ga 3.05-3.09
Ru1 0.0000 0.0000 0.0000  8 Ga 2.55



[5]
Entry from Alexandria: a relaxed Sm3GaRu crystal (PBE).

Properties
Crystal system: orthorhombic
DOS at the Fermi energy: 0.719 states/eV/atom
Energy relative to the lowest polymorph listed for this composition: 0.000 eV per atom
DFT formation energy: -1.9 eV/f.u.

Unit cell a=5.8252 b=5.8252 c=8.6192 alpha=102.37 beta=102.37 gamma=111.47
Closest atoms and distances in Å follow each position.
Element x y z (fractional)
Sm1 0.9155 0.7927 0.7082  2 Ru 2.91, 2 Ga 3.18-3.19
Sm2 0.3038 0.8038 0.1076  4 Ru 3.04, 2 Sm 3.34, 2 Ga 3.37
Sm3 0.6962 0.1962 0.8924  4 Ru 3.04, 2 Sm 3.34, 2 Ga 3.37
Sm4 0.7072 0.5846 0.2918  2 Ru 2.91, 2 Ga 3.19
Sm5 0.0845 0.2073 0.2918  2 Ru 2.91, 2 Ga 3.18-3.19
Sm6 0.2928 0.4154 0.7082  2 Ru 2.91, 2 Ga 3.19
Ga1 0.6916 0.1916 0.5001  1 Ga 2.51
Ga2 0.3084 0.8084 0.4999  1 Ga 2.51
Ru1 0.7500 0.7500 0.0000  8 Sm 2.91-3.04
Ru2 0.2500 0.2500 0.0000  8 Sm 2.91-3.04



[6]
Entry from Alexandria: a relaxed Sm3GaRu crystal (PBE).

Properties
Crystal system: triclinic
DOS at the Fermi energy: 0.809 states/eV/atom
Energy relative to the lowest polymorph listed for this composition: 0.039 eV per atom
DFT formation energy: -1.7 eV/f.u.

Unit cell a=4.6828 b=7.6072 c=7.7594 alpha=83.00 beta=90.02 gamma=107.90
Closest atoms and distances in Å follow each position.
Element x y z (fractional)
Ru1 0.2172 0.4669 0.6226  6 Sm 2.75-3.02
Ru2 0.8267 0.6871 0.7991  6 Sm 2.75-3.02
Ga1 0.6132 0.2603 0.1751  1 Ga 2.64
Ga2 0.4309 0.8939 0.2464  1 Ga 2.64
Sm1 0.9773 0.9871 0.9980  1 Ru 2.82, 2 Ga 3.05
Sm2 0.6390 0.3104 0.7805  3 Ru 2.75-2.81, 1 Ga 3.04
Sm3 0.0667 0.1670 0.4235  1 Ru 2.82, 2 Ga 3.05
Sm4 0.7854 0.6036 0.3950  3 Ru 3.02-3.27, 3 Ga 3.19-3.26
Sm5 0.2586 0.5505 0.0265  3 Ru 3.02-3.27, 3 Ga 3.19-3.26
Sm6 0.4050 0.8437 0.6410  3 Ru 2.75-2.81, 1 Ga 3.04



[7]
Entry from Alexandria: a relaxed SmGa4Ru crystal (PBE).

Properties
Crystal system: orthorhombic
DOS at the Fermi energy: 0.242 states/eV/atom
DFT formation energy: -3.2 eV/f.u.

Unit cell a=4.1189 b=7.0055 c=7.7292 alpha=90.00 beta=90.00 gamma=90.00
Closest atoms and distances in Å follow each position.
Element x y z (fractional)
Ga1 0.0000 0.0000 0.0000  2 Ru 2.38
Ga2 0.5000 0.6779 0.4342  2 Ru 2.65, 3 Ga 2.69-2.94
Ga3 0.5000 0.9556 0.7500  2 Ru 2.68, 6 Ga 2.84-2.94
Ga4 0.5000 0.3221 0.9342  2 Ru 2.65, 3 Ga 2.69-2.94
Ga5 0.5000 0.6779 0.0658  2 Ru 2.65, 3 Ga 2.69-2.94
Ga6 0.5000 0.3221 0.5658  2 Ru 2.65, 3 Ga 2.69-2.94
Ga7 0.5000 0.0444 0.2500  2 Ru 2.68, 6 Ga 2.84-2.94
Ga8 0.0000 0.0000 0.5000  2 Ru 2.38
Ru1 0.0000 0.8007 0.2500  6 Ga 2.38-2.65
Ru2 0.0000 0.1993 0.7500  6 Ga 2.38-2.65
Sm1 0.0000 0.6306 0.7500  1 Ru 3.02, 12 Ga 3.07-3.31
Sm2 0.0000 0.3694 0.2500  1 Ru 3.02, 12 Ga 3.07-3.31



[8]
Entry from Alexandria: a relaxed SmGa4Ru4 crystal (PBE).

Properties
Crystal system: tetragonal
DOS at the Fermi energy: 0.665 states/eV/atom
DFT formation energy: -2.8 eV/f.u.

Unit cell a=5.8037 b=5.8037 c=9.0783 alpha=90.00 beta=90.00 gamma=90.00
Closest atoms and distances in Å follow each position.
Element x y z (fractional)
Ga1 0.2792 0.0000 0.2995  5 Ru 2.51-2.63, 1 Ga 2.56
Ga2 0.7792 0.5000 0.2005  5 Ru 2.51-2.63, 1 Ga 2.56
Ga3 0.5000 0.2208 0.7995  5 Ru 2.51-2.63, 1 Ga 2.56
Ga4 0.2208 0.5000 0.2005  5 Ru 2.51-2.63, 1 Ga 2.56
Ga5 0.5000 0.7792 0.7995  5 Ru 2.51-2.63, 1 Ga 2.56
Ga6 0.0000 0.7208 0.7005  5 Ru 2.51-2.63, 1 Ga 2.56
Ga7 0.7208 0.0000 0.2995  5 Ru 2.51-2.63, 1 Ga 2.56
Ga8 0.0000 0.2792 0.7005  5 Ru 2.51-2.63, 1 Ga 2.56
Ru1 0.7798 0.5000 0.9114  5 Ga 2.51-2.63, 3 Ru 2.56-2.80
Ru2 0.7202 0.0000 0.5886  5 Ga 2.51-2.63, 3 Ru 2.56-2.80
Ru3 0.2798 0.0000 0.5886  5 Ga 2.51-2.63, 3 Ru 2.56-2.80
Ru4 0.2202 0.5000 0.9114  5 Ga 2.51-2.63, 3 Ru 2.56-2.80
Ru5 0.5000 0.2202 0.0886  5 Ga 2.51-2.63, 3 Ru 2.56-2.80
Ru6 0.0000 0.2798 0.4114  5 Ga 2.51-2.63, 3 Ru 2.56-2.80
Ru7 0.5000 0.7798 0.0886  5 Ga 2.51-2.63, 3 Ru 2.56-2.80
Ru8 0.0000 0.7202 0.4114  5 Ga 2.51-2.63, 3 Ru 2.56-2.80
Sm1 0.0000 0.0000 0.0000  4 Ga 3.17, 8 Ru 3.27
Sm2 0.5000 0.5000 0.5000  4 Ga 3.17, 8 Ru 3.27